Compound: TaNiIr
Source: Alexandria
Functional: PBE-GGA
Structure: optimized geometry

As for the raw total energy: -8.78 eV/atom. As for the energy relative to the elements: 14 kJ/mol of formula units. As for the energy relative to the lowest polymorph listed for this composition: 532.8 meV per atom.

It has space group F-43m (No. 216), with a = 5.783 Å, b = 5.783 Å, c = 5.783 Å, α = 90.00°, β = 90.00° and γ = 90.00°. The distinct sites, in fractional coordinates, are Ta at (0.000, 0.000, 0.000), Ni at (0.250, 0.250, 0.750) and Ir at (0.000, 0.000, 0.500).